Entry 1:
KBaRu3: optimized geometry, GGA-PBE.

POSCAR file:
```
KBaRu3
1.0
5.034 0.000 0.000
0.000 5.034 0.000
0.000 0.000 5.034
K Ba Ru
1 1 3
direct
0.000 0.000 0.000 K
0.500 0.500 0.500 Ba
0.000 0.000 0.500 Ru
0.000 0.500 0.000 Ru
0.500 0.000 0.000 Ru
```

Calculated values
- ΔE to the lowest computed polymorph: 29 meV per atom
- Space-group type: Pm-3m
- E: -19.217 eV for the cell shown
- Total magnetic moment: 4.9 μB/f.u.



Entry 2:
La6SmDyY2: optimized geometry, GGA-PBE.

POSCAR file:
```
La6SmDyY2
1.0
5.728 -3.564 0.000
5.728 3.564 0.000
-2.246 0.000 8.778
La Sm Dy Y
6 1 1 2
direct
0.096 0.540 0.196 La
0.135 0.135 0.430 La
0.460 0.904 0.804 La
0.540 0.096 0.196 La
0.865 0.865 0.570 La
0.904 0.460 0.804 La
0.500 0.500 0.500 Sm
0.000 0.000 0.000 Dy
0.413 0.413 0.834 Y
0.587 0.587 0.166 Y
```

Calculated values
- Space-group type: C2/m
- E: -49.883 eV for the cell shown
- Total magnetic moment: 0.0 μB/f.u.



Entry 3:
Cd3NiAg2: optimized geometry, GGA-PBE.

POSCAR file:
```
Cd3NiAg2
1.0
2.191 -6.664 0.000
2.191 6.664 0.000
0.000 0.000 7.465
Cd Ni Ag
6 2 4
direct
0.000 0.000 0.241 Cd
0.000 0.000 0.759 Cd
0.326 0.674 0.225 Cd
0.326 0.674 0.775 Cd
0.674 0.326 0.225 Cd
0.674 0.326 0.775 Cd
0.160 0.840 0.000 Ni
0.840 0.160 0.000 Ni
0.166 0.834 0.500 Ag
0.500 0.500 0.000 Ag
0.500 0.500 0.500 Ag
0.834 0.166 0.500 Ag
```

Calculated values
- Space-group type: Cmmm
- E: -28.390 eV for the cell shown
- Total magnetic moment: 0.0 μB/f.u.



Entry 4:
V12SiC4: optimized geometry, GGA-PBE.

POSCAR file:
```
V12SiC4
1.0
-3.702 3.702 3.702
3.702 -3.702 3.702
3.702 3.702 -3.702
V Si C
12 1 4
direct
0.145 0.828 0.317 V
0.172 0.317 0.489 V
0.172 0.683 0.855 V
0.317 0.145 0.828 V
0.317 0.489 0.172 V
0.489 0.172 0.317 V
0.511 0.828 0.683 V
0.683 0.511 0.828 V
0.683 0.855 0.172 V
0.828 0.317 0.145 V
0.828 0.683 0.511 V
0.855 0.172 0.683 V
0.000 0.000 0.000 Si
0.000 0.000 0.500 C
0.000 0.500 0.000 C
0.500 0.000 0.000 C
0.500 0.500 0.500 C
```

Calculated values
- Space-group type: Im-3
- E: -157.263 eV for the cell shown
- Formation energy without anion corrections: -5.522 eV/f.u.
- Total magnetic moment: 0.0 μB/f.u.



Entry 5:
Pm3DyY6Tm2: optimized geometry, GGA-PBE.

POSCAR file:
```
Pm3DyY6Tm2
1.0
3.099 -5.363 0.000
3.099 5.363 0.000
-2.058 0.000 11.648
Pm Dy Y Tm
3 1 6 2
direct
0.000 0.000 0.000 Pm
0.333 0.667 0.000 Pm
0.667 0.333 0.000 Pm
0.500 0.500 0.500 Dy
0.084 0.418 0.254 Y
0.249 0.249 0.746 Y
0.418 0.084 0.254 Y
0.582 0.916 0.746 Y
0.751 0.751 0.254 Y
0.916 0.582 0.746 Y
0.167 0.833 0.500 Tm
0.833 0.167 0.500 Tm
```

Calculated values
- Space-group type: C2/m
- E: -66.330 eV for the cell shown
- Total magnetic moment: 0.0 μB/f.u.



Entry 6:
SmHo2Te3: optimized geometry, GGA-PBE.

POSCAR file:
```
SmHo2Te3
1.0
-2.197 3.079 6.553
2.197 -3.079 6.553
2.197 3.079 -6.553
Sm Ho Te
1 2 3
direct
0.000 0.000 0.000 Sm
0.341 0.341 0.000 Ho
0.659 0.659 0.000 Ho
0.174 0.674 0.500 Te
0.500 0.000 0.500 Te
0.826 0.326 0.500 Te
```

Calculated values
- Space-group type: Immm
- E: -31.048 eV for the cell shown
- Formation energy without anion corrections: -7.748 eV/f.u.
- Total magnetic moment: 0.0 μB/f.u.



Entry 7:
Co2HgPb: optimized geometry, GGA-PBE.

POSCAR file:
```
Co2HgPb
1.0
-3.596 3.596 2.881
3.596 -3.596 2.881
3.596 3.596 -2.881
Co Hg Pb
4 2 2
direct
0.125 0.125 0.500 Co
0.375 0.875 0.000 Co
0.625 0.625 0.500 Co
0.875 0.375 0.000 Co
0.000 0.000 0.000 Hg
0.750 0.250 0.500 Hg
0.250 0.750 0.500 Pb
0.500 0.500 0.000 Pb
```

Calculated values
- ΔE to the lowest computed polymorph: 443 meV per atom
- Space-group type: I-42d
- E: -30.076 eV for the cell shown
- Total magnetic moment: 2.4 μB/f.u.



Entry 8:
CaTeCl2: optimized geometry, GGA-PBE.

POSCAR file:
```
CaTeCl2
1.0
6.020 0.000 0.000
0.000 3.659 0.000
-1.993 0.000 5.695
Ca Te Cl
1 1 2
direct
0.000 0.000 0.000 Ca
0.500 0.000 0.500 Te
0.195 0.500 0.805 Cl
0.805 0.500 0.195 Cl
```

Calculated values
- ΔE to the lowest computed polymorph: 219 meV per atom
- Space-group type: P2/m
- E: -13.790 eV for the cell shown
- Formation energy without anion corrections: -4.953 eV/f.u.
- Total magnetic moment: 1.0 μB/f.u.



Entry 9:
Pm6Pr2Pu: optimized geometry, GGA-PBE.

POSCAR file:
```
Pm6Pr2Pu
1.0
-4.801 9.455 3.349
4.801 -9.455 3.349
4.801 9.455 -3.349
Pm Pr Pu
12 4 2
direct
0.026 0.183 0.209 Pm
0.088 0.250 0.838 Pm
0.137 0.662 0.800 Pm
0.363 0.162 0.525 Pm
0.412 0.250 0.162 Pm
0.474 0.683 0.158 Pm
0.526 0.317 0.842 Pm
0.588 0.750 0.838 Pm
0.637 0.838 0.475 Pm
0.863 0.338 0.200 Pm
0.912 0.750 0.162 Pm
0.974 0.817 0.791 Pm
0.196 0.322 0.519 Pr
0.304 0.822 0.126 Pr
0.696 0.178 0.874 Pr
0.804 0.678 0.481 Pr
0.250 0.750 0.500 Pu
0.750 0.250 0.500 Pu
```

Calculated values
- Space-group type: Ibam
- E: -102.705 eV for the cell shown
- Total magnetic moment: 6.0 μB/f.u.



Entry 10:
NdCd3Au3: optimized geometry, GGA-PBE.

POSCAR file:
```
NdCd3Au3
1.0
8.617 0.000 0.000
0.000 4.790 0.000
-4.306 0.000 7.490
Nd Cd Au
2 6 6
direct
0.167 0.250 0.333 Nd
0.833 0.750 0.667 Nd
0.268 0.250 0.989 Cd
0.278 0.750 0.768 Cd
0.490 0.750 0.222 Cd
0.510 0.250 0.778 Cd
0.722 0.250 0.232 Cd
0.732 0.750 0.011 Cd
0.039 0.250 0.612 Au
0.112 0.750 0.073 Au
0.426 0.750 0.538 Au
0.574 0.250 0.462 Au
0.888 0.250 0.927 Au
0.961 0.750 0.388 Au
```

Calculated values
- ΔE to the lowest computed polymorph: 0 meV per atom
- Space-group type: P2_1/m
- E: -40.279 eV for the cell shown
- Total magnetic moment: 0.0 μB/f.u.



Entry 11:
TbY7Er12: optimized geometry, GGA-PBE.

POSCAR file:
```
TbY7Er12
1.0
6.374 3.680 4.522
-6.374 3.680 4.522
0.000 -7.361 4.522
Tb Y Er
1 7 12
direct
0.000 0.000 0.000 Tb
0.015 0.350 0.081 Y
0.081 0.015 0.350 Y
0.350 0.081 0.015 Y
0.500 0.500 0.500 Y
0.650 0.919 0.985 Y
0.919 0.985 0.650 Y
0.985 0.650 0.919 Y
0.146 0.477 0.414 Er
0.190 0.320 0.749 Er
0.251 0.810 0.680 Er
0.320 0.749 0.190 Er
0.414 0.146 0.477 Er
0.477 0.414 0.146 Er
0.523 0.586 0.854 Er
0.586 0.854 0.523 Er
0.680 0.251 0.810 Er
0.749 0.190 0.320 Er
0.810 0.680 0.251 Er
0.854 0.523 0.586 Er
```

Calculated values
- ΔE to the lowest computed polymorph: 0 meV per atom
- Space-group type: R-3
- E: -98.373 eV for the cell shown
- Total magnetic moment: 0.0 μB/f.u.



Entry 12:
CaNi3S: optimized geometry, GGA-PBE.

POSCAR file:
```
CaNi3S
1.0
4.564 0.000 0.000
0.000 4.564 0.000
0.000 0.000 4.564
Ca Ni S
1 3 1
direct
0.000 0.000 0.000 Ca
0.000 0.000 0.500 Ni
0.000 0.500 0.000 Ni
0.500 0.000 0.000 Ni
0.500 0.500 0.500 S
```

Calculated values
- ΔE to the lowest computed polymorph: 1950 meV per atom
- Space-group type: Pm-3m
- E: -15.305 eV for the cell shown
- Formation energy without anion corrections: 8.168 eV/f.u.
- Total magnetic moment: 0.3 μB/f.u.